# PBE NdSc2Tc, relaxed
# - Relative energy among the computed polymorphs: 153.7 meV per atom
# - Energy: -6.894 eV per atom
# - Formation energy: 55 meV/atom
data_NdSc2Tc
_cell_length_a 3.3211
_cell_length_b 3.3211
_cell_length_c 29.5553
_cell_angle_alpha 90.00
_cell_angle_beta 90.00
_cell_angle_gamma 120.00
_symmetry_space_group_name_H-M 'R -3 m'
_symmetry_Int_Tables_number 166
_symmetry_space_group_name_Hall '-R 3 2"'
loop_
_atom_site_label
_atom_site_type_symbol
_atom_site_fract_x
_atom_site_fract_y
_atom_site_fract_z
Nd1 Nd 0.0000 0.0000 0.0000
Sc1 Sc 0.0000 0.0000 0.2307
Tc1 Tc 0.0000 0.0000 0.5000